# 1
Below is NaHg2Pt4 after structural relaxation, with properties calculated at the GGA-PBE level.

```
data_NaHg2Pt4
_chemical_formula_sum 'Na2 Hg4 Pt8'
_cell_length_a 4.6470
_cell_length_b 4.6470
_cell_length_c 13.7491
_cell_angle_alpha 90.00
_cell_angle_beta 90.00
_cell_angle_gamma 90.00
_space_group_name_H-M_alt 'I 4/m m m'
_space_group_IT_number 139
_space_group_name_Hall '-I 4 2'
loop_
_atom_site_label
_atom_site_fract_x
_atom_site_fract_y
_atom_site_fract_z
Na1 0.0000 0.0000 0.0000
Hg1 0.0000 0.0000 0.3762
Pt1 0.0000 0.0000 0.1842
Pt2 0.0000 0.5000 0.0000
```

Output
The formation energy comes out at 0.98 eV/atom. The value obtained for the electronic total energy is -0.202 Ry per atom. Its magnetic moment is 0.00 μB/f.u.

# 2
Below is CoRhN after structural relaxation, with properties calculated at the GGA-PBE level.

```
data_CoRhN
_chemical_formula_sum 'Co1 Rh1 N1'
_cell_length_a 2.8643
_cell_length_b 2.8643
_cell_length_c 4.4856
_cell_angle_alpha 90.00
_cell_angle_beta 90.00
_cell_angle_gamma 120.00
_space_group_name_H-M_alt 'P 3 m 1'
_space_group_IT_number 156
_space_group_name_Hall 'P 3 -2"'
loop_
_atom_site_label
_atom_site_fract_x
_atom_site_fract_y
_atom_site_fract_z
Co1 0.0000 0.0000 0.0000
Rh1 0.6667 0.3333 0.4837
N1 0.3333 0.6667 0.8113
```

Output
The value obtained for the electronic total energy is -0.529 Ry per atom. Its magnetic moment is 0.00 μB/f.u.